1.
Entry from Alexandria via LeMat-Bulk: Sr5Tl24 after structural relaxation (PBE-GGA).

Properties
N(E_F): 12.933 states/eV per cell
V: 921.7 Å³ per cell
Energy of formation: -0.1619 eV per atom

Geometry as CIF:
```
data_Sr5Tl24
_chemical_formula_sum 'Sr5 Tl24'
_symmetry_space_group_name_H-M 'P 1'
_symmetry_Int_Tables_number 1
_cell_length_a 10.619
_cell_length_b 10.619
_cell_length_c 10.619
_cell_angle_alpha 109.47
_cell_angle_beta 109.47
_cell_angle_gamma 109.47
loop_
_symmetry_equiv_pos_as_xyz
'x,y,z'
loop_
_atom_site_label
_atom_site_type_symbol
_atom_site_fract_x
_atom_site_fract_y
_atom_site_fract_z
Sr1 Sr 0.000 0.000 0.000
Sr2 Sr 0.000 0.000 0.389
Sr3 Sr 0.000 0.389 0.000
Sr4 Sr 0.389 0.000 0.000
Sr5 Sr 0.611 0.611 0.611
Tl1 Tl 0.000 0.325 0.606
Tl2 Tl 0.000 0.606 0.325
Tl3 Tl 0.000 0.627 0.808
Tl4 Tl 0.000 0.808 0.627
Tl5 Tl 0.181 0.373 0.373
Tl6 Tl 0.192 0.192 0.819
Tl7 Tl 0.192 0.819 0.192
Tl8 Tl 0.281 0.675 0.675
Tl9 Tl 0.325 0.000 0.606
Tl10 Tl 0.325 0.606 0.000
Tl11 Tl 0.373 0.181 0.373
Tl12 Tl 0.373 0.373 0.181
Tl13 Tl 0.394 0.394 0.719
Tl14 Tl 0.394 0.719 0.394
Tl15 Tl 0.606 0.000 0.325
Tl16 Tl 0.606 0.325 0.000
Tl17 Tl 0.627 0.000 0.808
Tl18 Tl 0.627 0.808 0.000
Tl19 Tl 0.675 0.281 0.675
Tl20 Tl 0.675 0.675 0.281
Tl21 Tl 0.719 0.394 0.394
Tl22 Tl 0.808 0.000 0.627
Tl23 Tl 0.808 0.627 0.000
Tl24 Tl 0.819 0.192 0.192
```


2.
Entry from Alexandria via LeMat-Bulk: CaPm5Pd6 after structural relaxation (PBE-GGA).

Properties
N(E_F): 7.527 states/eV per cell
V: 277.8 Å³ per cell
Energy of formation: -0.7706 eV per atom

Geometry as CIF:
```
data_CaPm5Pd6
_chemical_formula_sum 'Ca1 Pm5 Pd6'
_symmetry_space_group_name_H-M 'P 1'
_symmetry_Int_Tables_number 1
_cell_length_a 8.786
_cell_length_b 8.786
_cell_length_c 5.093
_cell_angle_alpha 106.81
_cell_angle_beta 106.81
_cell_angle_gamma 120.00
loop_
_symmetry_equiv_pos_as_xyz
'x,y,z'
loop_
_atom_site_label
_atom_site_type_symbol
_atom_site_fract_x
_atom_site_fract_y
_atom_site_fract_z
Ca1 Ca 0.000 0.000 0.000
Pm1 Pm 0.160 0.840 0.500
Pm2 Pm 0.331 0.669 0.000
Pm3 Pm 0.500 0.500 0.500
Pm4 Pm 0.669 0.331 0.000
Pm5 Pm 0.840 0.160 0.500
Pd1 Pd 0.086 0.431 0.258
Pd2 Pd 0.267 0.267 0.767
Pd3 Pd 0.431 0.086 0.258
Pd4 Pd 0.569 0.914 0.742
Pd5 Pd 0.733 0.733 0.233
Pd6 Pd 0.914 0.569 0.742
```


3.
Entry from Alexandria via LeMat-Bulk: CsLi2ICl2 after structural relaxation (PBE-GGA).

Properties
E_form (uncorrected): -10.1 eV/f.u.
N(E_F): 0.000 states/eV per cell
V: 406.8 Å³ per cell

Geometry as CIF:
```
data_CsLi2ICl2
_chemical_formula_sum 'Cs2 Li4 I2 Cl4'
_symmetry_space_group_name_H-M 'P 1'
_symmetry_Int_Tables_number 1
_cell_length_a 7.742
_cell_length_b 6.128
_cell_length_c 8.937
_cell_angle_alpha 90.00
_cell_angle_beta 106.39
_cell_angle_gamma 90.00
loop_
_symmetry_equiv_pos_as_xyz
'x,y,z'
loop_
_atom_site_label
_atom_site_type_symbol
_atom_site_fract_x
_atom_site_fract_y
_atom_site_fract_z
Cs1 Cs 0.167 0.250 0.348
Cs2 Cs 0.833 0.750 0.652
Li1 Li 0.354 0.001 0.810
Li2 Li 0.354 0.499 0.810
Li3 Li 0.646 0.501 0.190
Li4 Li 0.646 0.999 0.190
I1 I 0.328 0.750 0.070
I2 I 0.672 0.250 0.930
Cl1 Cl 0.123 0.250 0.731
Cl2 Cl 0.368 0.750 0.623
Cl3 Cl 0.632 0.250 0.377
Cl4 Cl 0.877 0.750 0.269
```


4.
Entry from Alexandria via LeMat-Bulk: NdCdGa2 after structural relaxation (PBE-GGA).

Properties
N(E_F): 2.666 states/eV per cell
V: 89.8 Å³ per cell
ΔE to the lowest computed polymorph: 0.000 eV per atom
Energy of formation: -0.4227 eV per atom

Geometry as CIF:
```
data_NdCdGa2
_chemical_formula_sum 'Nd1 Cd1 Ga2'
_symmetry_space_group_name_H-M 'P 1'
_symmetry_Int_Tables_number 1
_cell_length_a 4.545
_cell_length_b 4.545
_cell_length_c 4.345
_cell_angle_alpha 90.00
_cell_angle_beta 90.00
_cell_angle_gamma 90.00
loop_
_symmetry_equiv_pos_as_xyz
'x,y,z'
loop_
_atom_site_label
_atom_site_type_symbol
_atom_site_fract_x
_atom_site_fract_y
_atom_site_fract_z
Nd1 Nd 0.000 0.000 0.000
Cd1 Cd 0.500 0.500 0.000
Ga1 Ga 0.000 0.500 0.500
Ga2 Ga 0.500 0.000 0.500
```


5.
Entry from Alexandria via LeMat-Bulk: UTaCdO6 after structural relaxation (PBE-GGA).

Properties
E_form (uncorrected): -23.2 eV/f.u.
N(E_F): 3.842 states/eV per cell
V: 256.7 Å³ per cell

Geometry as CIF:
```
data_UTaCdO6
_chemical_formula_sum 'U2 Ta2 Cd2 O12'
_symmetry_space_group_name_H-M 'P 1'
_symmetry_Int_Tables_number 1
_cell_length_a 5.591
_cell_length_b 5.591
_cell_length_c 9.482
_cell_angle_alpha 90.00
_cell_angle_beta 90.00
_cell_angle_gamma 120.00
loop_
_symmetry_equiv_pos_as_xyz
'x,y,z'
loop_
_atom_site_label
_atom_site_type_symbol
_atom_site_fract_x
_atom_site_fract_y
_atom_site_fract_z
U1 U 0.333 0.667 0.250
U2 U 0.667 0.333 0.750
Ta1 Ta 0.333 0.667 0.750
Ta2 Ta 0.667 0.333 0.250
Cd1 Cd 0.000 0.000 0.000
Cd2 Cd 0.000 0.000 0.500
O1 O 0.020 0.371 0.638
O2 O 0.020 0.649 0.862
O3 O 0.351 0.371 0.862
O4 O 0.351 0.980 0.638
O5 O 0.371 0.020 0.138
O6 O 0.371 0.351 0.362
O7 O 0.629 0.649 0.638
O8 O 0.629 0.980 0.862
O9 O 0.649 0.020 0.362
O10 O 0.649 0.629 0.138
O11 O 0.980 0.351 0.138
O12 O 0.980 0.629 0.362
```


6.
Entry from Alexandria via LeMat-Bulk: Mg2GaCo after structural relaxation (PBE-GGA).

Properties
N(E_F): 1.858 states/eV per cell
V: 74.6 Å³ per cell
Energy of formation: -0.0701 eV per atom

Geometry as CIF:
```
data_Mg2GaCo
_chemical_formula_sum 'Mg2 Ga1 Co1'
_symmetry_space_group_name_H-M 'P 1'
_symmetry_Int_Tables_number 1
_cell_length_a 7.218
_cell_length_b 7.218
_cell_length_c 7.218
_cell_angle_alpha 157.27
_cell_angle_beta 149.06
_cell_angle_gamma 38.74
loop_
_symmetry_equiv_pos_as_xyz
'x,y,z'
loop_
_atom_site_label
_atom_site_type_symbol
_atom_site_fract_x
_atom_site_fract_y
_atom_site_fract_z
Mg1 Mg 0.168 0.168 0.000
Mg2 Mg 0.832 0.832 0.000
Ga1 Ga 0.500 0.000 0.500
Co1 Co 0.000 0.500 0.500
```